(1)
Density functional theory data (GGA-PBE) for an optimized crystal structure of YPu2N4.

Cell: 7.2812 7.2812 6.9791 Å, 90.00 90.00 90.00°
Last column: nearest neighbours and their distance in Å.
Space group I-42d (No. 122)
Symmetry-distinct sites (fractional):
Y 0.0000 0.0000 0.0000 [4 per cell]  8 N 2.41-2.66
Pu 0.1291 0.7500 0.6250 [8 per cell]  4 N 2.21-2.34
N 0.0623 0.6834 0.9261 [16 per cell]  2 Pu 2.21-2.34, 1 Y 2.41

Values from the calculation:
- Electronic total energy: -304.97 eV per cell
- ΔE to the lowest computed polymorph: 100.5 meV per atom
- Formation energy (no corrections): -1.1161 eV/atom
- Volume: 370.01 Å³ per cell

(2)
Density functional theory data (GGA-PBE) for an optimized crystal structure of HoSeBr.

Cell: 6.9293 4.1122 7.1252 Å, 90.00 93.92 90.00°
Last column: nearest neighbours and their distance in Å.
Space group P2/m (No. 10)
Symmetry-distinct sites (fractional):
Ho 0.0000 0.0000 0.0000 [1 per cell]  2 Se 2.75, 4 Br 2.89
Ho 0.0000 0.5000 0.5000 [1 per cell]  4 Se 2.83, 2 Br 2.95
Se 0.2147 0.0000 0.6900 [2 per cell]  3 Ho 2.75-2.83
Br 0.2423 0.5000 0.1756 [2 per cell]  3 Ho 2.89-2.95

Values from the calculation:
- Electronic total energy: -30.13 eV per cell
- Formation energy (no corrections): -1.7765 eV/atom
- Volume: 202.55 Å³ per cell

(3)
Density functional theory data (GGA-PBE) for an optimized crystal structure of Ho8Ir2Ru.

Cell: 8.2942 12.5375 5.8072 Å, 90.00 108.98 90.00°
Last column: nearest neighbours and their distance in Å.
Space group Cm (No. 8)
Symmetry-distinct sites (fractional):
Ho 0.0000 0.0000 0.0000 [2 per cell]  1 Ru 2.90, 2 Ir 2.98
Ho 0.0629 0.3726 0.7759 [4 per cell]  2 Ir 2.79-2.80
Ho 0.1536 0.1279 0.5803 [4 per cell]  2 Ir 2.80-2.81
Ho 0.2171 0.5000 0.3716 [2 per cell]  1 Ru 2.87, 2 Ir 3.00
Ho 0.3552 0.2138 0.1837 [4 per cell]  1 Ru 2.75
Ir 0.3613 0.3107 0.6877 [4 per cell]  6 Ho 2.79-3.00
Ru 0.3572 0.0000 0.2935 [2 per cell]  4 Ho 2.75-2.90

Values from the calculation:
- Formation energy: -0.42 eV per atom
- Electronic total energy: -136.52 eV per cell
- ΔE to the lowest computed polymorph: 62.7 meV per atom
- Volume: 571.03 Å³ per cell

(4)
Density functional theory data (GGA-PBE) for an optimized crystal structure of LiNi2W.

Cell: 2.6790 4.2478 4.3822 Å, 90.00 90.00 90.00°
Last column: nearest neighbours and their distance in Å.
Space group Pmmm (No. 47)
Symmetry-distinct sites (fractional):
Li 0.0000 0.0000 0.0000 [1 per cell]  4 Ni 2.51, 4 W 2.57, 2 Li 2.68
Ni 0.0000 0.5000 0.5000 [1 per cell]  4 W 2.51, 6 Ni 2.57-2.68
Ni 0.5000 0.5000 0.0000 [1 per cell]  4 Li 2.51, 6 Ni 2.57-2.68
W 0.5000 0.0000 0.5000 [1 per cell]  4 Ni 2.51, 4 Li 2.57, 2 W 2.68

Values from the calculation:
- Formation energy: 0.41 eV per atom
- Electronic total energy: -24.78 eV per cell
- Volume: 49.87 Å³ per cell

(5)
Density functional theory data (GGA-PBE) for an optimized crystal structure of Pm2Ge3PRh4.

Cell: 4.2636 4.2636 9.8905 Å, 90.00 90.00 90.00°
Last column: nearest neighbours and their distance in Å.
Space group P-4m2 (No. 115)
Symmetry-distinct sites (fractional):
Pm 0.0000 0.5000 0.2378 [2 per cell]  6 Ge 3.17-3.28, 2 P 3.17, 9 Rh 3.25-3.50
Ge 0.0000 0.0000 0.0000 [1 per cell]  4 Rh 2.42
Ge 0.0000 0.5000 0.6328 [2 per cell]  5 Rh 2.48-2.50
P 0.5000 0.5000 0.0000 [1 per cell]  4 Rh 2.42
Rh 0.0000 0.0000 0.5000 [1 per cell]  4 Ge 2.50
Rh 0.0000 0.5000 0.8838 [2 per cell]  3 Ge 2.42-2.48, 2 P 2.42
Rh 0.5000 0.5000 0.5000 [1 per cell]  4 Ge 2.50

Values from the calculation:
- Formation energy: -0.92 eV per atom
- Electronic total energy: -67.39 eV per cell
- Volume: 179.79 Å³ per cell

(6)
Density functional theory data (GGA-PBE) for an optimized crystal structure of LaDyGe2Pd2.

Cell: 4.4728 4.4728 7.3939 Å, 90.00 90.00 120.00°
Last column: nearest neighbours and their distance in Å.
Space group P-3m1 (No. 164)
Symmetry-distinct sites (fractional):
La 0.0000 0.0000 0.0000 [1 per cell]  6 Ge 3.27, 6 Pd 3.38
Dy 0.0000 0.0000 0.5000 [1 per cell]  6 Pd 2.99, 6 Ge 3.09
Ge 0.3333 0.6667 0.2710 [2 per cell]  3 Pd 2.59
Pd 0.3333 0.6667 0.7042 [2 per cell]  3 Ge 2.59

Values from the calculation:
- Formation energy: -0.95 eV per atom
- Electronic total energy: -34.82 eV per cell
- Volume: 128.10 Å³ per cell

(7)
Density functional theory data (GGA-PBE) for an optimized crystal structure of SrCaGaP2.

Cell: 6.9982 5.1151 7.7593 Å, 90.00 103.92 90.00°
Last column: nearest neighbours and their distance in Å.
Space group P2/c (No. 13)
Symmetry-distinct sites (fractional):
Sr 0.0000 0.2005 0.2500 [2 per cell]  6 P 3.11-3.37
Ca 0.5000 0.4812 0.7500 [2 per cell]  4 P 2.89-2.91, 2 Ga 3.13
Ga 0.5000 0.0000 0.0000 [2 per cell]  2 P 2.26
P 0.2358 0.2668 0.9527 [4 per cell]  1 Ga 2.26

Values from the calculation:
- Formation energy: -0.68 eV per atom
- Electronic total energy: -41.84 eV per cell
- Volume: 269.60 Å³ per cell

(8)
Density functional theory data (GGA-PBE) for an optimized crystal structure of TbPa2MoC4.

Cell: 3.6424 11.9084 11.8567 Å, 90.00 90.00 90.00°
Last column: nearest neighbours and their distance in Å.
Space group Cmcm (No. 63)
Symmetry-distinct sites (fractional):
Tb 0.0000 0.1300 0.2500 [4 per cell]  6 C 2.70-2.88
Pa 0.0000 0.3690 0.0415 [8 per cell]  6 C 2.39-2.62
Mo 0.0000 0.1347 0.7500 [4 per cell]  4 C 2.04-2.07
C 0.0000 0.0000 0.0000 [4 per cell]  4 Pa 2.45
C 0.0000 0.2573 0.6260 [8 per cell]  1 Mo 2.07
C 0.0000 0.4428 0.2500 [4 per cell]  2 Mo 2.04

Values from the calculation:
- Formation energy: -0.12 eV per atom
- Electronic total energy: -289.11 eV per cell
- Volume: 514.29 Å³ per cell